Compound: KMnTc
Source: Alexandria via LeMat-Bulk
Functional: PBE
Structure: optimized geometry

Structure (POSCAR):
```
KMnTc
1.0
-1.850 -2.113 -0.501
1.019 -1.737 3.559
-8.591 6.764 5.760
K Tc Mn
2 2 2
Direct
0.788 0.500 0.468
0.823 0.000 0.130
0.801 0.000 0.868
0.279 0.500 0.729
0.773 0.000 0.691
0.307 0.500 0.906
```

Summary:
Its density of states at the Fermi level is 0.86 states/eV/atom. The total energy comes out at -6.315 eV per atom. The space-group type is No. 6.

Compound: Na3Tb2InSe6
Source: Alexandria via LeMat-Bulk
Functional: PBE
Structure: optimized geometry

Structure (POSCAR):
```
Na3Tb2InSe6
1.0
-2.700 2.253 -6.209
-4.158 -0.330 5.790
4.041 5.989 1.781
Se Tb Na In
6 2 3 1
Direct
0.076 0.403 0.229
0.403 0.076 0.229
0.250 0.250 0.772
0.750 0.750 0.228
0.924 0.597 0.771
0.597 0.924 0.771
0.333 0.667 0.000
0.667 0.333 0.000
0.500 0.500 0.500
0.166 0.834 0.500
0.834 0.166 0.500
0.000 0.000 0.000
```

Summary:
Its uncorrected formation energy is -16.626 eV/f.u. The space-group type is No. 12.